Material: Zr2GeSb2
Method: DFT, PBE
State: optimized geometry

Output
E_form (uncorrected) = -0.49 eV/atom
ΔE to the lowest computed polymorph = 0.0000 eV/atom

Cell lengths 7.553, 7.553, 4.037 Å; angles 90.00, 90.00, 90.00 degrees
Sites, in units of the cell vectors:
Zr  0.155  0.345  0.000
Zr  0.345  0.845  0.000
Zr  0.655  0.155  0.000
Zr  0.845  0.655  0.000
Ge  0.000  0.000  0.000
Ge  0.500  0.500  0.000
Sb  0.148  0.648  0.500
Sb  0.352  0.148  0.500
Sb  0.648  0.852  0.500
Sb  0.852  0.352  0.500

Material: Zr6GeSb3
Method: DFT, PBE
State: optimized geometry

Output
E_form (uncorrected) = -0.49 eV/atom

Cell lengths 6.742, 7.525, 11.518 Å; angles 90.00, 125.71, 90.00 degrees
Sites, in units of the cell vectors:
Zr  0.039  0.040  0.241
Zr  0.039  0.460  0.741
Zr  0.193  0.675  0.060
Zr  0.193  0.825  0.560
Zr  0.411  0.154  0.057
Zr  0.411  0.346  0.557
Zr  0.589  0.654  0.443
Zr  0.589  0.846  0.943
Zr  0.807  0.175  0.440
Zr  0.807  0.325  0.940
Zr  0.961  0.540  0.259
Zr  0.961  0.960  0.759
Ge  0.000  0.000  0.000
Ge  0.000  0.500  0.500
Sb  0.317  0.145  0.745
Sb  0.317  0.355  0.245
Sb  0.500  0.000  0.500
Sb  0.500  0.500  0.000
Sb  0.683  0.645  0.755
Sb  0.683  0.855  0.255

Material: Zr2GeSb2
Method: DFT, PBE
State: optimized geometry

Output
E_form (uncorrected) = -0.26 eV/atom
ΔE to the lowest computed polymorph = 0.2339 eV/atom

Cell lengths 7.921, 7.921, 3.784 Å; angles 90.00, 90.00, 90.00 degrees
Sites, in units of the cell vectors:
Zr  0.144  0.356  0.000
Zr  0.356  0.856  0.000
Zr  0.644  0.144  0.000
Zr  0.856  0.644  0.000
Ge  0.000  0.000  0.500
Ge  0.500  0.500  0.500
Sb  0.150  0.650  0.500
Sb  0.350  0.150  0.500
Sb  0.650  0.850  0.500
Sb  0.850  0.350  0.500

Material: Zr2GeSb
Method: DFT, PBE
State: optimized geometry

Output
E_form (uncorrected) = -0.68 eV/atom
ΔE to the lowest computed polymorph = 0.0000 eV/atom

Cell lengths 7.097, 7.097, 7.097 Å; angles 32.42, 32.42, 32.42 degrees
Sites, in units of the cell vectors:
Zr  0.241  0.241  0.241
Zr  0.759  0.759  0.759
Ge  0.500  0.500  0.500
Sb  0.000  0.000  0.000

Material: Zr5GeSb2
Method: DFT, PBE
State: optimized geometry

Output
E_form (uncorrected) = -0.67 eV/atom

Cell lengths 7.496, 11.489, 4.147 Å; angles 90.00, 90.00, 90.00 degrees
Sites, in units of the cell vectors:
Zr  0.000  0.000  0.000
Zr  0.136  0.290  0.000
Zr  0.205  0.574  0.500
Zr  0.295  0.074  0.500
Zr  0.364  0.790  0.000
Zr  0.500  0.500  0.000
Zr  0.636  0.210  0.000
Zr  0.705  0.926  0.500
Zr  0.795  0.426  0.500
Zr  0.864  0.710  0.000
Ge  0.000  0.500  0.000
Ge  0.500  0.000  0.000
Sb  0.086  0.825  0.500
Sb  0.414  0.325  0.500
Sb  0.586  0.675  0.500
Sb  0.914  0.175  0.500

Material: Zr2GeSb
Method: DFT, PBE
State: optimized geometry

Output
E_form (uncorrected) = -0.40 eV/atom
ΔE to the lowest computed polymorph = 0.2765 eV/atom

Cell lengths 4.928, 4.928, 4.928 Å; angles 60.00, 60.00, 60.00 degrees
Sites, in units of the cell vectors:
Zr  0.250  0.250  0.250
Zr  0.750  0.750  0.750
Ge  0.000  0.000  0.000
Sb  0.500  0.500  0.500

Material: ZrGeSb
Method: DFT, PBE
State: optimized geometry

Output
E_form (uncorrected) = -0.06 eV/atom
ΔE to the lowest computed polymorph = 0.5390 eV/atom

Cell lengths 4.628, 4.628, 3.775 Å; angles 90.00, 90.00, 120.00 degrees
Sites, in units of the cell vectors:
Zr  0.000  0.000  0.000
Ge  0.667  0.333  0.000
Sb  0.333  0.667  0.500

Material: Zr2GeSb2
Method: DFT, PBE
State: optimized geometry

Output
E_form (uncorrected) = 0.33 eV/atom
ΔE to the lowest computed polymorph = 0.8244 eV/atom

Cell lengths 2.994, 2.994, 14.772 Å; angles 90.00, 90.00, 90.00 degrees
Sites, in units of the cell vectors:
Zr  0.000  0.000  0.184
Zr  0.000  0.000  0.816
Ge  0.000  0.000  0.000
Sb  0.000  0.000  0.388
Sb  0.000  0.000  0.612

Material: Zr5Ge2Sb
Method: DFT, PBE
State: optimized geometry

Output
E_form (uncorrected) = -0.78 eV/atom

Cell lengths 8.200, 8.200, 8.200 Å; angles 128.01, 128.01, 76.61 degrees
Sites, in units of the cell vectors:
Zr  0.000  0.000  0.000
Zr  0.014  0.514  0.821
Zr  0.193  0.014  0.500
Zr  0.307  0.807  0.821
Zr  0.486  0.307  0.500
Zr  0.500  0.500  0.000
Zr  0.514  0.693  0.500
Zr  0.693  0.193  0.179
Zr  0.807  0.986  0.500
Zr  0.986  0.486  0.179
Ge  0.138  0.362  0.500
Ge  0.362  0.862  0.225
Ge  0.638  0.138  0.775
Ge  0.862  0.638  0.500
Sb  0.250  0.250  0.000
Sb  0.750  0.750  0.000

Material: Zr6Ge3Sb
Method: DFT, PBE
State: optimized geometry

Output
E_form (uncorrected) = -0.51 eV/atom

Cell lengths 8.183, 8.183, 7.044 Å; angles 90.00, 90.00, 106.01 degrees
Sites, in units of the cell vectors:
Zr  0.004  0.996  0.500
Zr  0.070  0.517  0.485
Zr  0.246  0.754  0.160
Zr  0.284  0.381  0.087
Zr  0.381  0.284  0.587
Zr  0.483  0.930  0.485
Zr  0.517  0.070  0.985
Zr  0.619  0.716  0.087
Zr  0.716  0.619  0.587
Zr  0.754  0.246  0.660
Zr  0.930  0.483  0.985
Zr  0.996  0.004  0.000
Ge  0.088  0.283  0.765
Ge  0.283  0.088  0.265
Ge  0.417  0.583  0.397
Ge  0.583  0.417  0.897
Ge  0.717  0.912  0.765
Ge  0.912  0.717  0.265
Sb  0.188  0.812  0.763
Sb  0.812  0.188  0.263

Material: ZrGeSb
Method: DFT, PBE
State: optimized geometry

Output
E_form (uncorrected) = -0.26 eV/atom
ΔE to the lowest computed polymorph = 0.3401 eV/atom

Cell lengths 6.306, 6.306, 6.681 Å; angles 107.27, 107.27, 35.88 degrees
Sites, in units of the cell vectors:
Zr  0.131  0.131  0.482
Zr  0.869  0.869  0.518
Ge  0.342  0.342  0.804
Ge  0.658  0.658  0.196
Sb  0.433  0.433  0.231
Sb  0.567  0.567  0.769

Material: Zr2GeSb
Method: DFT, PBE
State: optimized geometry

Output
E_form (uncorrected) = 0.13 eV/atom
ΔE to the lowest computed polymorph = 0.8131 eV/atom

Cell lengths 7.760, 7.760, 7.760 Å; angles 131.97, 131.97, 70.28 degrees
Sites, in units of the cell vectors:
Zr  0.093  0.625  0.968
Zr  0.375  0.343  0.468
Zr  0.657  0.125  0.032
Zr  0.875  0.907  0.532
Ge  0.000  0.000  0.000
Ge  0.750  0.250  0.500
Sb  0.250  0.750  0.500
Sb  0.500  0.500  0.000

Material: ZrGeSb2
Method: DFT, PBE
State: optimized geometry

Output
E_form (uncorrected) = 0.13 eV/atom

Cell lengths 7.943, 7.943, 7.943 Å; angles 131.47, 131.47, 71.06 degrees
Sites, in units of the cell vectors:
Zr  0.000  0.000  0.000
Zr  0.750  0.250  0.500
Ge  0.250  0.750  0.500
Ge  0.500  0.500  0.000
Sb  0.130  0.625  0.005
Sb  0.375  0.380  0.505
Sb  0.620  0.125  0.995
Sb  0.875  0.870  0.495

Material: ZrGe2Sb2
Method: DFT, PBE
State: optimized geometry

Output
E_form (uncorrected) = -0.01 eV/atom

Cell lengths 7.462, 7.462, 4.051 Å; angles 90.00, 90.00, 90.00 degrees
Sites, in units of the cell vectors:
Zr  0.000  0.000  0.000
Zr  0.500  0.500  0.000
Ge  0.128  0.372  0.000
Ge  0.372  0.872  0.000
Ge  0.628  0.128  0.000
Ge  0.872  0.628  0.000
Sb  0.190  0.690  0.500
Sb  0.310  0.190  0.500
Sb  0.690  0.810  0.500
Sb  0.810  0.310  0.500

Material: Sc5Ge3
Method: DFT, PBE
State: optimized geometry

Output
energy relative to the elements = -0.845 eV per atom
ΔE to the lowest computed polymorph = 0.0000 eV/atom

Cell lengths 7.965, 7.965, 5.897 Å; angles 90.00, 90.00, 120.00 degrees
Sites, in units of the cell vectors:
Sc  0.000  0.240  0.250
Sc  0.000  0.760  0.750
Sc  0.240  0.000  0.250
Sc  0.240  0.240  0.750
Sc  0.333  0.667  0.000
Sc  0.333  0.667  0.500
Sc  0.667  0.333  0.000
Sc  0.667  0.333  0.500
Sc  0.760  0.000  0.750
Sc  0.760  0.760  0.250
Ge  0.000  0.394  0.750
Ge  0.000  0.606  0.250
Ge  0.394  0.000  0.750
Ge  0.394  0.394  0.250
Ge  0.606  0.000  0.250
Ge  0.606  0.606  0.750

Material: ScGe6
Method: DFT, PBE
State: optimized geometry

Output
energy relative to the elements = 0.397 eV per atom

Cell lengths 6.097, 6.097, 6.097 Å; angles 109.47, 109.47, 109.47 degrees
Sites, in units of the cell vectors:
Sc  0.000  0.000  0.000
Ge  0.250  0.500  0.750
Ge  0.250  0.750  0.500
Ge  0.500  0.250  0.750
Ge  0.500  0.750  0.250
Ge  0.750  0.250  0.500
Ge  0.750  0.500  0.250

Material: Sc5Ge4
Method: DFT, PBE
State: optimized geometry

Output
energy relative to the elements = -0.776 eV per atom
ΔE to the lowest computed polymorph = 0.0723 eV/atom

Cell lengths 5.468, 5.468, 9.327 Å; angles 111.26, 111.26, 44.06 degrees
Sites, in units of the cell vectors:
Sc  0.000  0.000  0.000
Sc  0.093  0.093  0.389
Sc  0.245  0.245  0.832
Sc  0.755  0.755  0.168
Sc  0.907  0.907  0.611
Ge  0.364  0.364  0.390
Ge  0.454  0.454  0.162
Ge  0.546  0.546  0.838
Ge  0.636  0.636  0.610

Material: Sc5Ge
Method: DFT, PBE
State: optimized geometry

Output
energy relative to the elements = -0.253 eV per atom

Cell lengths 7.148, 7.148, 4.422 Å; angles 90.00, 90.00, 144.38 degrees
Sites, in units of the cell vectors:
Sc  0.000  0.000  0.000
Sc  0.157  0.843  0.500
Sc  0.333  0.667  0.000
Sc  0.667  0.333  0.000
Sc  0.843  0.157  0.500
Ge  0.500  0.500  0.500

Material: Sc3Ge4
Method: DFT, PBE
State: optimized geometry

Output
energy relative to the elements = -0.710 eV per atom

Cell lengths 5.433, 5.433, 13.742 Å; angles 90.00, 90.00, 138.43 degrees
Sites, in units of the cell vectors:
Sc  0.056  0.944  0.750
Sc  0.334  0.666  0.597
Sc  0.334  0.666  0.903
Sc  0.666  0.334  0.097
Sc  0.666  0.334  0.403
Sc  0.944  0.056  0.250
Ge  0.000  0.000  0.000
Ge  0.000  0.000  0.500
Ge  0.211  0.789  0.250
Ge  0.375  0.625  0.109
Ge  0.375  0.625  0.391
Ge  0.625  0.375  0.609
Ge  0.625  0.375  0.891
Ge  0.789  0.211  0.750

Material: Sc5Ge3
Method: DFT, PBE
State: optimized geometry

Output
energy relative to the elements = -0.760 eV per atom
ΔE to the lowest computed polymorph = 0.0858 eV/atom

Cell lengths 8.052, 8.052, 8.052 Å; angles 126.66, 126.66, 78.81 degrees
Sites, in units of the cell vectors:
Sc  0.000  0.000  0.000
Sc  0.013  0.513  0.820
Sc  0.193  0.013  0.500
Sc  0.307  0.807  0.820
Sc  0.487  0.307  0.500
Sc  0.500  0.500  0.000
Sc  0.513  0.693  0.500
Sc  0.693  0.193  0.180
Sc  0.807  0.987  0.500
Sc  0.987  0.487  0.180
Ge  0.141  0.359  0.500
Ge  0.250  0.250  0.000
Ge  0.359  0.859  0.219
Ge  0.641  0.141  0.781
Ge  0.750  0.750  0.000
Ge  0.859  0.641  0.500

Material: ScGe2
Method: DFT, PBE
State: optimized geometry

Output
energy relative to the elements = -0.174 eV per atom

Cell lengths 5.482, 5.482, 5.482 Å; angles 60.00, 60.00, 60.00 degrees
Sites, in units of the cell vectors:
Sc  0.125  0.125  0.125
Sc  0.875  0.875  0.875
Ge  0.000  0.500  0.500
Ge  0.500  0.000  0.500
Ge  0.500  0.500  0.000
Ge  0.500  0.500  0.500

Material: Sc5Ge2
Method: DFT, PBE
State: optimized geometry

Output
energy relative to the elements = -0.580 eV per atom

Cell lengths 7.787, 7.787, 7.413 Å; angles 96.74, 96.74, 43.16 degrees
Sites, in units of the cell vectors:
Sc  0.135  0.865  0.750
Sc  0.151  0.298  0.324
Sc  0.274  0.539  0.076
Sc  0.298  0.151  0.824
Sc  0.461  0.726  0.424
Sc  0.539  0.274  0.576
Sc  0.702  0.849  0.176
Sc  0.726  0.461  0.924
Sc  0.849  0.702  0.676
Sc  0.865  0.135  0.250
Ge  0.080  0.713  0.419
Ge  0.287  0.920  0.081
Ge  0.713  0.080  0.919
Ge  0.920  0.287  0.581

Number 1: raw total energy -0.4765 Ry/atom. Number 2: raw total energy -0.5380 Ry/atom. Number 3: raw total energy -0.4594 Ry/atom. Number 4: raw total energy -0.5248 Ry/atom. Number 5: raw total energy -0.5601 Ry/atom. Number 6: raw total energy -0.5044 Ry/atom. Number 7: raw total energy -0.4277 Ry/atom. Number 8: raw total energy -0.4159 Ry/atom. Number 9: raw total energy -0.5730 Ry/atom. Number 10: raw total energy -0.5464 Ry/atom. Number 11: raw total energy -0.4423 Ry/atom. Number 12: raw total energy -0.4650 Ry/atom. Number 13: raw total energy -0.3837 Ry/atom. Number 14: raw total energy -0.3833 Ry/atom. Number 15: raw total energy -0.4802 Ry/atom. Number 16: raw total energy -0.3282 Ry/atom. Number 17: raw total energy -0.4664 Ry/atom. Number 18: raw total energy -0.4629 Ry/atom. Number 19: raw total energy -0.4456 Ry/atom. Number 20: raw total energy -0.4739 Ry/atom. Number 21: raw total energy -0.3941 Ry/atom. Number 22: raw total energy -0.4720 Ry/atom.